# La3InO

A relaxed structure of La3InO (GGA-PBE, Alexandria via LeMat-Bulk).

POSCAR file:
```
La3InO
1.0
5.9835 -2.6604 0.0000
5.9835 2.6604 0.0000
-3.5111 0.0000 8.4040
La In O
6 2 2
Cartesian
0.6206 0.0000 1.6259
-0.5676 0.0000 5.5347
4.0402 0.0000 0.6066
4.4157 0.0000 7.7974
9.0235 0.0000 2.8693
7.8354 0.0000 6.7781
2.8111 0.0000 4.8105
5.6448 0.0000 3.5935
-1.7808 0.0000 7.7711
10.2367 0.0000 0.6329
```

## Properties
E, hartree per atom: -0.213
Energy relative to the elements, uncorrected, meV per atom: -1313

***

# Hg2P

A relaxed structure of Hg2P (GGA-PBE, Alexandria via LeMat-Bulk).

POSCAR file:
```
Hg2P
1.0
6.3839 0.0000 0.0000
-3.1920 5.5286 0.0000
0.0000 0.0000 9.0479
Hg P
8 4
Cartesian
0.0000 0.0000 0.0000
0.0000 0.0000 4.5240
0.0000 1.8689 2.2620
-1.5734 4.5942 2.2620
1.6186 0.9345 6.7860
1.5734 4.5942 2.2620
4.7654 0.9345 6.7860
3.1920 3.6597 6.7860
0.0000 3.6858 0.3513
0.0000 3.6858 4.1727
3.1920 1.8429 4.8753
3.1920 1.8429 8.6966
```

## Properties
E, hartree per atom: -0.053
Excess energy over the best structure of this formula in the dataset, eV per atom: 0.4777
Formation energy, eV per atom: 0.566

***

# PmGdTm2

A relaxed structure of PmGdTm2 (GGA-PBE, Alexandria via LeMat-Bulk).

POSCAR file:
```
PmGdTm2
1.0
5.0428 0.0000 0.0000
0.0000 5.0428 0.0000
0.0000 0.0000 4.9703
Pm Gd Tm
1 1 2
Cartesian
0.0000 0.0000 0.0000
2.5214 2.5214 0.0000
0.0000 2.5214 2.4851
2.5214 0.0000 2.4851
```

## Properties
E, hartree per atom: -0.254
Excess energy over the best structure of this formula in the dataset, eV per atom: 0.0000
Formation energy, eV per atom: 0.020

***

# La2ThNi

A relaxed structure of La2ThNi (GGA-PBE, Alexandria via LeMat-Bulk).

POSCAR file:
```
La2ThNi
1.0
3.5909 0.0000 0.0000
0.0000 3.5909 0.0000
0.0000 0.0000 8.5891
La Th Ni
2 1 1
Cartesian
0.0000 0.0000 1.7306
0.0000 0.0000 6.8585
1.7955 1.7955 4.2945
1.7955 1.7955 0.0000
```

## Properties
E, hartree per atom: -0.215
Excess energy over the best structure of this formula in the dataset, eV per atom: 0.0000
Formation energy, eV per atom: -0.078

***

# RbMg

A relaxed structure of RbMg (GGA-PBE, Alexandria via LeMat-Bulk).

POSCAR file:
```
RbMg
1.0
7.2577 -2.1295 0.0000
7.2577 2.1295 0.0000
-2.6166 0.0000 6.3340
Rb Mg
2 2
Cartesian
0.5835 0.0000 2.0992
11.3153 0.0000 4.2348
4.5089 0.0000 0.6943
7.3900 0.0000 5.6397
```

## Properties
E, hartree per atom: -0.039
Formation energy, eV per atom: 0.230

***

# Tb4Y3ThSe8

A relaxed structure of Tb4Y3ThSe8 (GGA-PBE, Alexandria via LeMat-Bulk).

POSCAR file:
```
Tb4Y3ThSe8
1.0
4.1131 2.3747 6.6989
-4.1131 2.3747 6.6989
0.0000 -4.7494 6.6989
Tb Y Th Se
4 3 1 8
Cartesian
0.0000 0.0000 0.0000
-2.0565 -1.1873 6.6989
-2.0565 1.1873 13.3977
0.0000 2.3747 6.6989
-4.1131 0.0000 10.0483
-2.0565 1.1873 3.3494
2.0565 1.1873 3.3494
0.0000 0.0000 10.0483
0.0000 -2.4127 8.3528
-2.0894 1.2063 8.3528
-2.0895 -1.2063 11.7438
0.0000 0.0000 5.0187
0.0000 0.0000 15.0779
2.0894 1.2063 8.3528
2.0895 -1.2063 11.7438
0.0000 2.4127 11.7438
```

## Properties
E, hartree per atom: -0.232
Energy relative to the elements, uncorrected, meV per atom: -1728

***

- Look up the E of the third one.
  -0.254 hartree per atom

***

Please write out number 2 again, unchanged.
# Hg2P

A relaxed structure of Hg2P (GGA-PBE, Alexandria via LeMat-Bulk).

POSCAR file:
```
Hg2P
1.0
6.3839 0.0000 0.0000
-3.1920 5.5286 0.0000
0.0000 0.0000 9.0479
Hg P
8 4
Cartesian
0.0000 0.0000 0.0000
0.0000 0.0000 4.5240
0.0000 1.8689 2.2620
-1.5734 4.5942 2.2620
1.6186 0.9345 6.7860
1.5734 4.5942 2.2620
4.7654 0.9345 6.7860
3.1920 3.6597 6.7860
0.0000 3.6858 0.3513
0.0000 3.6858 4.1727
3.1920 1.8429 4.8753
3.1920 1.8429 8.6966
```

## Properties
E, hartree per atom: -0.053
Excess energy over the best structure of this formula in the dataset, eV per atom: 0.4777
Formation energy, eV per atom: 0.566

***

Copy entry 3 word for word.
# PmGdTm2

A relaxed structure of PmGdTm2 (GGA-PBE, Alexandria via LeMat-Bulk).

POSCAR file:
```
PmGdTm2
1.0
5.0428 0.0000 0.0000
0.0000 5.0428 0.0000
0.0000 0.0000 4.9703
Pm Gd Tm
1 1 2
Cartesian
0.0000 0.0000 0.0000
2.5214 2.5214 0.0000
0.0000 2.5214 2.4851
2.5214 0.0000 2.4851
```

## Properties
E, hartree per atom: -0.254
Excess energy over the best structure of this formula in the dataset, eV per atom: 0.0000
Formation energy, eV per atom: 0.020